*A*
Below is a relaxed structure of PmH4Pd2, with properties calculated at the PBE-GGA level.

Structure (POSCAR):
```
PmH4Pd2
1.0
1.7293 -4.8116 0.0000
1.7293 4.8116 0.0000
0.0000 0.0000 8.7426
Pm H Pd
2 8 4
direct
0.0893 0.9107 0.7500
0.9107 0.0893 0.2500
0.0000 0.0000 0.0000
0.0000 0.0000 0.5000
0.2510 0.7490 0.1052
0.2510 0.7490 0.3948
0.4253 0.5747 0.7500
0.5747 0.4253 0.2500
0.7490 0.2510 0.6052
0.7490 0.2510 0.8948
0.3604 0.6396 0.5566
0.3604 0.6396 0.9434
0.6396 0.3604 0.0566
0.6396 0.3604 0.4434
```

Properties
Density in g/cm3: 8.260
N(E_F) in states/eV per atom: 0.313
Space-group type: Cmcm

---

*B*
Below is a relaxed structure of PmH4Pd2, with properties calculated at the PBE-GGA level.

Structure (POSCAR):
```
PmH4Pd2
1.0
-2.8756 2.8756 4.4914
2.8756 -2.8756 4.4914
2.8756 2.8756 -4.4914
Pm H Pd
2 8 4
direct
0.3750 0.1250 0.2500
0.6250 0.8750 0.7500
0.0179 0.1458 0.3181
0.1998 0.5179 0.3722
0.3277 0.6998 0.1819
0.3542 0.1723 0.8722
0.6458 0.8277 0.1278
0.6723 0.3002 0.8181
0.8002 0.4821 0.6278
0.9821 0.8542 0.6819
0.0000 0.0000 0.5000
0.0000 0.5000 0.0000
0.0000 0.5000 0.5000
0.5000 0.5000 0.0000
```

Properties
Density in g/cm3: 8.089
N(E_F) in states/eV per atom: 0.199
Space-group type: I4_1/a

---

Comparing the structures above, *B* comes out on top by 2.4 kJ/mol of atoms.